Entry 1:
The following is a PBE calculation of crystalline LaPu2Ge6 at its relaxed geometry, from the Alexandria database.

Cell and atoms, written as CIF:
```
data_LaPu2Ge6
_chemical_formula_sum 'La1 Pu2 Ge6'
_cell_length_a 7.6207
_cell_length_b 7.6207
_cell_length_c 4.0150
_cell_angle_alpha 90.00
_cell_angle_beta 90.00
_cell_angle_gamma 120.00
_symmetry_space_group_name_H-M 'P 6/m m m'
_symmetry_Int_Tables_number 191
_symmetry_space_group_name_Hall '-P 6 2'
loop_
_atom_site_label
_atom_site_type_symbol
_atom_site_fract_x
_atom_site_fract_y
_atom_site_fract_z
La1 La 0.0000 0.0000 0.0000
Pu1 Pu 0.3333 0.6667 0.0000
Ge1 Ge 0.0000 0.3363 0.5000
```

Results
E_form = -0.4179 eV/atom
V = 22.437 A^3/atom
raw total energy = -65.06 eV/cell
ρ = 8.7 Mg/m³
M_tot = 11.4 μB per cell
crystal system = hexagonal

Entry 2:
The following is a PBE calculation of crystalline La2PuGe at its relaxed geometry, from the Alexandria database.

Cell and atoms, written as CIF:
```
data_La2PuGe
_chemical_formula_sum 'La6 Pu3 Ge3'
_cell_length_a 3.5962
_cell_length_b 3.5962
_cell_length_c 33.3281
_cell_angle_alpha 90.00
_cell_angle_beta 90.00
_cell_angle_gamma 120.00
_symmetry_space_group_name_H-M 'R -3 m'
_symmetry_Int_Tables_number 166
_symmetry_space_group_name_Hall '-R 3 2"'
loop_
_atom_site_label
_atom_site_type_symbol
_atom_site_fract_x
_atom_site_fract_y
_atom_site_fract_z
La1 La 0.0000 0.0000 0.0983
Pu1 Pu 0.0000 0.0000 0.0000
Ge1 Ge 0.0000 0.0000 0.5000
```

Results
energy relative to the lowest polymorph listed for this composition = 143 kJ/mol of formula units
E_form = 0.0759 eV/atom
V = 31.107 A^3/atom
raw total energy = -85.50 eV/cell
ρ = 7.9 Mg/m³
M_tot = 18.5 μB per cell
crystal system = trigonal

Entry 3:
The following is a PBE calculation of crystalline LaPuGe at its relaxed geometry, from the Alexandria database.

Cell and atoms, written as CIF:
```
data_LaPuGe
_chemical_formula_sum 'La2 Pu2 Ge2'
_cell_length_a 5.1647
_cell_length_b 5.1647
_cell_length_c 6.7095
_cell_angle_alpha 90.00
_cell_angle_beta 90.00
_cell_angle_gamma 120.00
_symmetry_space_group_name_H-M 'P 63/m m c'
_symmetry_Int_Tables_number 194
_symmetry_space_group_name_Hall '-P 6c 2c'
loop_
_atom_site_label
_atom_site_type_symbol
_atom_site_fract_x
_atom_site_fract_y
_atom_site_fract_z
La1 La 0.0000 0.0000 0.0000
Pu1 Pu 0.3333 0.6667 0.2500
Ge1 Ge 0.3333 0.6667 0.7500
```

Results
energy relative to the lowest polymorph listed for this composition = 31 kJ/mol of formula units
E_form = -0.4144 eV/atom
V = 25.831 A^3/atom
raw total energy = -50.24 eV/cell
ρ = 9.8 Mg/m³
M_tot = 12.8 μB per cell
crystal system = hexagonal

Question: The lowest E_form belongs to which entry?
Answer: LaPu2Ge6

Question: Among the records above, which one has the lowest ρ?
Answer: La2PuGe

Question: What is the formula in the second record?
Answer: La2PuGe